A relaxed AcLa4Sm5 crystal, computed with PBE.

```
data_AcLa4Sm5
_chemical_formula_sum 'Ac1 La4 Sm5'
_space_group_name_H-M_alt 'P 4/m m m'
_space_group_IT_number 123
_space_group_name_Hall '-P 4 2'
_cell_length_a 3.7567
_cell_length_b 3.7567
_cell_length_c 25.6826
_cell_angle_alpha 90.00
_cell_angle_beta 90.00
_cell_angle_gamma 90.00
loop_
_atom_site_label
_atom_site_type_symbol
_atom_site_fract_x
_atom_site_fract_y
_atom_site_fract_z
Ac1 Ac 0.0000 0.0000 0.0000
La1 La 0.0000 0.0000 0.2038
La2 La 0.0000 0.0000 0.4013
Sm1 Sm 0.5000 0.5000 0.1053
Sm2 Sm 0.5000 0.5000 0.3027
Sm3 Sm 0.5000 0.5000 0.5000
```

Properties
energy relative to the lowest polymorph listed for this composition: 0.0 meV/atom

A relaxed AcLa4Sm3 crystal, computed with PBE.

```
data_AcLa4Sm3
_chemical_formula_sum 'Ac2 La8 Sm6'
_space_group_name_H-M_alt 'C m m m'
_space_group_IT_number 65
_space_group_name_Hall '-C 2 2'
_cell_length_a 12.1066
_cell_length_b 13.8302
_cell_length_c 3.5505
_cell_angle_alpha 90.00
_cell_angle_beta 90.00
_cell_angle_gamma 90.00
loop_
_atom_site_label
_atom_site_type_symbol
_atom_site_fract_x
_atom_site_fract_y
_atom_site_fract_z
Ac1 Ac 0.0000 0.0000 0.0000
La1 La 0.0000 0.2579 0.0000
La2 La 0.2386 0.5000 0.5000
Sm1 Sm 0.0000 0.5000 0.0000
Sm2 Sm 0.2500 0.2500 0.5000
```

Properties
energy relative to the lowest polymorph listed for this composition: 327.7 meV/atom

A relaxed Ac2La7Sm2 crystal, computed with PBE.

```
data_Ac2La7Sm2
_chemical_formula_sum 'Ac4 La14 Sm4'
_space_group_name_H-M_alt 'C 1 2/m 1'
_space_group_IT_number 12
_space_group_name_Hall '-C 2y'
_cell_length_a 8.8988
_cell_length_b 11.3770
_cell_length_c 8.6216
_cell_angle_alpha 90.00
_cell_angle_beta 104.56
_cell_angle_gamma 90.00
loop_
_atom_site_label
_atom_site_type_symbol
_atom_site_fract_x
_atom_site_fract_y
_atom_site_fract_z
Ac1 Ac 0.0838 0.0000 0.3221
La1 La 0.0000 0.5000 0.5000
La2 La 0.1944 0.5000 0.9831
La3 La 0.2026 0.2116 0.6734
Sm1 Sm 0.0000 0.2137 0.0000
```

Properties
energy relative to the lowest polymorph listed for this composition: 45.6 meV/atom

A relaxed AcLa5Sm4 crystal, computed with PBE.

```
data_AcLa5Sm4
_chemical_formula_sum 'Ac2 La10 Sm8'
_space_group_name_H-M_alt 'P m m n'
_space_group_IT_number 59
_cell_length_a 6.9471
_cell_length_b 9.5201
_cell_length_c 11.6096
_cell_angle_alpha 90.00
_cell_angle_beta 90.00
_cell_angle_gamma 90.00
loop_
_space_group_symop_operation_xyz
'x,y,z'
'-x,-y,-z'
'-x+1/2,-y+1/2,z'
'x+1/2,y+1/2,-z'
'x+1/2,-y,-z'
'-x+1/2,y,z'
'-x,y+1/2,-z'
'x,-y+1/2,z'
loop_
_atom_site_label
_atom_site_type_symbol
_atom_site_fract_x
_atom_site_fract_y
_atom_site_fract_z
Ac1 Ac 0.2500 0.2500 0.1646
La1 La 0.9996 0.0682 0.7181
La2 La 0.2500 0.7500 0.7842
Sm1 Sm 0.0036 0.2500 0.4588
Sm2 Sm 0.2500 0.5610 0.0070
```

Properties
energy relative to the lowest polymorph listed for this composition: 299.5 meV/atom

A relaxed Ac8La2Sm crystal, computed with PBE.

```
data_Ac8La2Sm
_chemical_formula_sum 'Ac16 La4 Sm2'
_space_group_name_H-M_alt 'C 1 2/m 1'
_space_group_IT_number 12
_space_group_name_Hall '-C 2y'
_cell_length_a 13.3845
_cell_length_b 12.6575
_cell_length_c 6.3298
_cell_angle_alpha 90.00
_cell_angle_beta 104.61
_cell_angle_gamma 90.00
loop_
_atom_site_label
_atom_site_type_symbol
_atom_site_fract_x
_atom_site_fract_y
_atom_site_fract_z
Ac1 Ac 0.0832 0.0000 0.2939
Ac2 Ac 0.1011 0.2565 0.8052
Ac3 Ac 0.2316 0.0000 0.8877
La1 La 0.1328 0.5000 0.5119
Sm1 Sm 0.0000 0.5000 0.0000
```

Properties
energy relative to the lowest polymorph listed for this composition: 11.1 meV/atom

A relaxed Ac2La5Sm6 crystal, computed with PBE.

```
data_Ac2La5Sm6
_chemical_formula_sum 'Ac4 La10 Sm12'
_space_group_name_H-M_alt 'P b a m'
_space_group_IT_number 55
_space_group_name_Hall '-P 2 2ab'
_cell_length_a 12.2061
_cell_length_b 21.1951
_cell_length_c 3.7229
_cell_angle_alpha 90.00
_cell_angle_beta 90.00
_cell_angle_gamma 90.00
loop_
_atom_site_label
_atom_site_type_symbol
_atom_site_fract_x
_atom_site_fract_y
_atom_site_fract_z
Ac1 Ac 0.1755 0.2234 0.0000
La1 La 0.0000 0.5000 0.5000
La2 La 0.0833 0.7864 0.5000
La3 La 0.2035 0.0562 0.5000
Sm1 Sm 0.0619 0.9276 0.0000
Sm2 Sm 0.0667 0.6397 0.0000
Sm3 Sm 0.1876 0.3788 0.5000
```

A relaxed AcLaSm2 crystal, computed with PBE.

```
data_AcLaSm2
_chemical_formula_sum 'Ac1 La1 Sm2'
_space_group_name_H-M_alt 'P 4/m m m'
_space_group_IT_number 123
_space_group_name_Hall '-P 4 2'
_cell_length_a 5.3283
_cell_length_b 5.3283
_cell_length_c 5.2127
_cell_angle_alpha 90.00
_cell_angle_beta 90.00
_cell_angle_gamma 90.00
loop_
_atom_site_label
_atom_site_type_symbol
_atom_site_fract_x
_atom_site_fract_y
_atom_site_fract_z
Ac1 Ac 0.0000 0.0000 0.0000
La1 La 0.5000 0.5000 0.0000
Sm1 Sm 0.0000 0.5000 0.5000
```

Properties
energy relative to the lowest polymorph listed for this composition: 0.0 meV/atom

A relaxed AcLa5Sm4 crystal, computed with PBE.

```
data_AcLa5Sm4
_chemical_formula_sum 'Ac1 La5 Sm4'
_space_group_name_H-M_alt 'P 4/m m m'
_space_group_IT_number 123
_space_group_name_Hall '-P 4 2'
_cell_length_a 3.7575
_cell_length_b 3.7575
_cell_length_c 25.9183
_cell_angle_alpha 90.00
_cell_angle_beta 90.00
_cell_angle_gamma 90.00
loop_
_atom_site_label
_atom_site_type_symbol
_atom_site_fract_x
_atom_site_fract_y
_atom_site_fract_z
Ac1 Ac 0.0000 0.0000 0.0000
La1 La 0.5000 0.5000 0.1081
La2 La 0.5000 0.5000 0.3041
La3 La 0.5000 0.5000 0.5000
Sm1 Sm 0.0000 0.0000 0.2066
Sm2 Sm 0.0000 0.0000 0.4019
```

Properties
energy relative to the lowest polymorph listed for this composition: 0.0 meV/atom

A relaxed AcLa3Sm3 crystal, computed with PBE.

```
data_AcLa3Sm3
_chemical_formula_sum 'Ac2 La6 Sm6'
_space_group_name_H-M_alt 'P 63/m'
_space_group_IT_number 176
_space_group_name_Hall '-P 6c'
_cell_length_a 9.9968
_cell_length_b 9.9968
_cell_length_c 6.0180
_cell_angle_alpha 90.00
_cell_angle_beta 90.00
_cell_angle_gamma 120.00
loop_
_atom_site_label
_atom_site_type_symbol
_atom_site_fract_x
_atom_site_fract_y
_atom_site_fract_z
Ac1 Ac 0.3333 0.6667 0.2500
La1 La 0.0935 0.4672 0.7500
Sm1 Sm 0.0440 0.2303 0.2500
```

Properties
energy relative to the lowest polymorph listed for this composition: 0.0 meV/atom

A relaxed AcLaSm2 crystal, computed with PBE.

```
data_AcLaSm2
_chemical_formula_sum 'Ac3 La3 Sm6'
_space_group_name_H-M_alt 'R -3 m'
_space_group_IT_number 166
_space_group_name_Hall '-R 3 2"'
_cell_length_a 3.7789
_cell_length_b 3.7789
_cell_length_c 36.0816
_cell_angle_alpha 90.00
_cell_angle_beta 90.00
_cell_angle_gamma 120.00
loop_
_atom_site_label
_atom_site_type_symbol
_atom_site_fract_x
_atom_site_fract_y
_atom_site_fract_z
Ac1 Ac 0.0000 0.0000 0.0000
La1 La 0.0000 0.0000 0.5000
Sm1 Sm 0.0000 0.0000 0.2485
```

Properties
energy relative to the lowest polymorph listed for this composition: 2.2 meV/atom

A relaxed AcLa2Sm4 crystal, computed with PBE.

```
data_AcLa2Sm4
_chemical_formula_sum 'Ac2 La4 Sm8'
_space_group_name_H-M_alt 'I 4/m m m'
_space_group_IT_number 139
_space_group_name_Hall '-I 4 2'
_cell_length_a 4.6847
_cell_length_b 4.6847
_cell_length_c 23.9304
_cell_angle_alpha 90.00
_cell_angle_beta 90.00
_cell_angle_gamma 90.00
loop_
_atom_site_label
_atom_site_type_symbol
_atom_site_fract_x
_atom_site_fract_y
_atom_site_fract_z
Ac1 Ac 0.0000 0.0000 0.0000
La1 La 0.0000 0.0000 0.3948
Sm1 Sm 0.0000 0.0000 0.1427
Sm2 Sm 0.0000 0.5000 0.2500
```

Properties
energy relative to the lowest polymorph listed for this composition: 6.2 meV/atom

A relaxed Ac4La4Sm crystal, computed with PBE.

```
data_Ac4La4Sm
_chemical_formula_sum 'Ac8 La8 Sm2'
_space_group_name_H-M_alt 'I 4/m m m'
_space_group_IT_number 139
_space_group_name_Hall '-I 4 2'
_cell_length_a 11.5479
_cell_length_b 11.5479
_cell_length_c 5.4127
_cell_angle_alpha 90.00
_cell_angle_beta 90.00
_cell_angle_gamma 90.00
loop_
_atom_site_label
_atom_site_type_symbol
_atom_site_fract_x
_atom_site_fract_y
_atom_site_fract_z
Ac1 Ac 0.1653 0.1653 0.0000
La1 La 0.0000 0.3381 0.5000
Sm1 Sm 0.0000 0.0000 0.5000
```

A relaxed Ac5La2Sm4 crystal, computed with PBE.

```
data_Ac5La2Sm4
_chemical_formula_sum 'Ac5 La2 Sm4'
_space_group_name_H-M_alt 'P 1 2/m 1'
_space_group_IT_number 10
_space_group_name_Hall '-P 2y'
_cell_length_a 9.3463
_cell_length_b 3.7315
_cell_length_c 12.6655
_cell_angle_alpha 90.00
_cell_angle_beta 92.52
_cell_angle_gamma 90.00
loop_
_atom_site_label
_atom_site_type_symbol
_atom_site_fract_x
_atom_site_fract_y
_atom_site_fract_z
Ac1 Ac 0.0000 0.0000 0.0000
Ac2 Ac 0.1992 0.0000 0.5237
Ac3 Ac 0.2748 0.0000 0.8113
La1 La 0.3550 0.0000 0.1196
Sm1 Sm 0.0763 0.5000 0.2683
Sm2 Sm 0.4649 0.5000 0.3576
```

A relaxed AcLa7Sm2 crystal, computed with PBE.

```
data_AcLa7Sm2
_chemical_formula_sum 'Ac2 La14 Sm4'
_space_group_name_H-M_alt 'C m m m'
_space_group_IT_number 65
_space_group_name_Hall '-C 2 2'
_cell_length_a 9.1372
_cell_length_b 16.2139
_cell_length_c 5.8194
_cell_angle_alpha 90.00
_cell_angle_beta 90.00
_cell_angle_gamma 90.00
loop_
_atom_site_label
_atom_site_type_symbol
_atom_site_fract_x
_atom_site_fract_y
_atom_site_fract_z
Ac1 Ac 0.0000 0.0000 0.0000
La1 La 0.0000 0.2462 0.0000
La2 La 0.0000 0.5000 0.5000
La3 La 0.1859 0.1181 0.5000
Sm1 Sm 0.0000 0.2998 0.5000
```

Properties
energy relative to the lowest polymorph listed for this composition: 517.9 meV/atom

A relaxed Ac2La7Sm crystal, computed with PBE.

```
data_Ac2La7Sm
_chemical_formula_sum 'Ac4 La14 Sm2'
_space_group_name_H-M_alt 'C m m m'
_space_group_IT_number 65
_space_group_name_Hall '-C 2 2'
_cell_length_a 6.9697
_cell_length_b 30.3578
_cell_length_c 3.6428
_cell_angle_alpha 90.00
_cell_angle_beta 90.00
_cell_angle_gamma 90.00
loop_
_atom_site_label
_atom_site_type_symbol
_atom_site_fract_x
_atom_site_fract_y
_atom_site_fract_z
Ac1 Ac 0.0000 0.2060 0.0000
La1 La 0.0000 0.0000 0.0000
La2 La 0.0000 0.3153 0.5000
La3 La 0.2410 0.4036 0.0000
Sm1 Sm 0.0000 0.5000 0.5000
```

Properties
energy relative to the lowest polymorph listed for this composition: 0.0 meV/atom

A relaxed AcLa6Sm12 crystal, computed with PBE.

```
data_AcLa6Sm12
_chemical_formula_sum 'Ac3 La18 Sm36'
_space_group_name_H-M_alt 'R -3 m'
_space_group_IT_number 166
_space_group_name_Hall '-R 3 2"'
_cell_length_a 14.1298
_cell_length_b 14.1298
_cell_length_c 11.9788
_cell_angle_alpha 90.00
_cell_angle_beta 90.00
_cell_angle_gamma 120.00
loop_
_atom_site_label
_atom_site_type_symbol
_atom_site_fract_x
_atom_site_fract_y
_atom_site_fract_z
Ac1 Ac 0.0000 0.0000 0.0000
La1 La 0.0068 0.5034 0.2641
Sm1 Sm 0.0000 0.3852 0.5000
Sm2 Sm 0.0904 0.1808 0.3385
```

A relaxed Ac3La8Sm2 crystal, computed with PBE.

```
data_Ac3La8Sm2
_chemical_formula_sum 'Ac6 La16 Sm4'
_space_group_name_H-M_alt 'C 1 2/m 1'
_space_group_IT_number 12
_space_group_name_Hall '-C 2y'
_cell_length_a 14.9756
_cell_length_b 11.6847
_cell_length_c 6.0702
_cell_angle_alpha 90.00
_cell_angle_beta 110.15
_cell_angle_gamma 90.00
loop_
_atom_site_label
_atom_site_type_symbol
_atom_site_fract_x
_atom_site_fract_y
_atom_site_fract_z
Ac1 Ac 0.0000 0.0000 0.0000
Ac2 Ac 0.0000 0.2460 0.5000
La1 La 0.0748 0.5000 0.2386
La2 La 0.1709 0.0000 0.5943
La3 La 0.1818 0.2326 0.1784
Sm1 Sm 0.1759 0.5000 0.8282
```

Properties
energy relative to the lowest polymorph listed for this composition: 0.0 meV/atom

A relaxed AcLa7Sm4 crystal, computed with PBE.

```
data_AcLa7Sm4
_chemical_formula_sum 'Ac1 La7 Sm4'
_space_group_name_H-M_alt 'P -1'
_space_group_IT_number 2
_space_group_name_Hall '-P 1'
_cell_length_a 6.5196
_cell_length_b 7.5052
_cell_length_c 9.2296
_cell_angle_alpha 89.99
_cell_angle_beta 76.46
_cell_angle_gamma 89.97
loop_
_atom_site_label
_atom_site_type_symbol
_atom_site_fract_x
_atom_site_fract_y
_atom_site_fract_z
Ac1 Ac 0.0000 0.0000 0.0000
La1 La 0.0000 0.5000 0.0000
La2 La 0.2260 0.0005 0.3367
La3 La 0.2820 0.7448 0.6648
La4 La 0.4990 0.7455 0.0020
Sm1 Sm 0.2186 0.4995 0.3325
Sm2 Sm 0.2774 0.2566 0.6676
```

A relaxed AcLa6Sm3 crystal, computed with PBE.

```
data_AcLa6Sm3
_chemical_formula_sum 'Ac3 La18 Sm9'
_space_group_name_H-M_alt 'R 3'
_space_group_IT_number 146
_space_group_name_Hall 'R 3'
_cell_length_a 10.2309
_cell_length_b 10.2309
_cell_length_c 12.4888
_cell_angle_alpha 90.00
_cell_angle_beta 90.00
_cell_angle_gamma 120.00
loop_
_atom_site_label
_atom_site_type_symbol
_atom_site_fract_x
_atom_site_fract_y
_atom_site_fract_z
Ac1 Ac 0.0000 0.0000 0.0000
La1 La 0.0029 0.3347 0.3349
La2 La 0.0099 0.6679 0.1682
Sm1 Sm 0.0000 0.0000 0.2597
Sm2 Sm 0.0000 0.0000 0.5000
Sm3 Sm 0.0000 0.0000 0.7418
```

Properties
energy relative to the lowest polymorph listed for this composition: 39.9 meV/atom

A relaxed AcLaSm2 crystal, computed with PBE.

```
data_AcLaSm2
_chemical_formula_sum 'Ac3 La3 Sm6'
_space_group_name_H-M_alt 'R 3 m'
_space_group_IT_number 160
_space_group_name_Hall 'R 3 -2"'
_cell_length_a 3.7807
_cell_length_b 3.7807
_cell_length_c 36.2308
_cell_angle_alpha 90.00
_cell_angle_beta 90.00
_cell_angle_gamma 120.00
loop_
_atom_site_label
_atom_site_type_symbol
_atom_site_fract_x
_atom_site_fract_y
_atom_site_fract_z
Ac1 Ac 0.0000 0.0000 0.0000
La1 La 0.0000 0.0000 0.1661
Sm1 Sm 0.0000 0.0000 0.4176
Sm2 Sm 0.0000 0.0000 0.5828
```

Properties
energy relative to the lowest polymorph listed for this composition: 12.1 meV/atom

Number 1: volume 362.5 Å³/cell, E_tot -4.716 eV/atom, E_form 0.03 eV/atom. Number 2: volume 594.5 Å³/cell, E_tot -4.401 eV/atom, E_form 0.35 eV/atom. Number 3: volume 844.8 Å³/cell, E_tot -4.608 eV/atom, E_form 0.13 eV/atom. Number 4: volume 767.8 Å³/cell, E_tot -4.437 eV/atom, E_form 0.33 eV/atom. Number 5: volume 1037.7 Å³/cell, E_tot -3.955 eV/atom, E_form 0.36 eV/atom. Number 6: volume 963.2 Å³/cell, E_tot -4.614 eV/atom, E_form 0.09 eV/atom. Number 7: volume 148.0 Å³/cell, E_tot -4.593 eV/atom, E_form 0.03 eV/atom. Number 8: volume 365.9 Å³/cell, E_tot -4.737 eV/atom, E_form 0.03 eV/atom. Number 9: volume 520.8 Å³/cell, E_tot -4.680 eV/atom, E_form 0.04 eV/atom. Number 10: volume 446.2 Å³/cell, E_tot -4.591 eV/atom, E_form 0.03 eV/atom. Number 11: volume 525.2 Å³/cell, E_tot -4.495 eV/atom, E_form 0.20 eV/atom. Number 12: volume 721.8 Å³/cell, E_tot -4.513 eV/atom, E_form 0.03 eV/atom. Number 13: volume 441.3 Å³/cell, E_tot -4.343 eV/atom, E_form 0.14 eV/atom. Number 14: volume 862.2 Å³/cell, E_tot -4.267 eV/atom, E_form 0.54 eV/atom. Number 15: volume 770.8 Å³/cell, E_tot -4.615 eV/atom, E_form 0.13 eV/atom. Number 16: volume 2071.2 Å³/cell, E_tot -4.391 eV/atom, E_form 0.36 eV/atom. Number 17: volume 997.2 Å³/cell, E_tot -4.584 eV/atom, E_form 0.12 eV/atom. Number 18: volume 439.1 Å³/cell, E_tot -4.777 eV/atom, E_form 0.01 eV/atom. Number 19: volume 1132.1 Å³/cell, E_tot -4.568 eV/atom, E_form 0.22 eV/atom. Number 20: volume 448.5 Å³/cell, E_tot -4.581 eV/atom, E_form 0.04 eV/atom.